1.
## Ta2CrPd9 (PBE)

Data for crystalline Ta2CrPd9 at its relaxed geometry.

a b c (Å): 3.9589 3.9589 11.8811
angles (deg): 90.00 90.00 90.00
Site moments in Bohr magnetons follow the coordinates.
Positions (direct):
Ta 0.0000 0.0000 0.3252  0.10
Ta 0.0000 0.0000 0.6748  0.10
Cr 0.0000 0.0000 0.0000  3.55
Pd 0.5000 0.5000 0.0000  0.01
Pd 0.5000 0.5000 0.3369  0.02
Pd 0.5000 0.5000 0.6631  0.02
Pd 0.5000 0.0000 0.1715  0.03
Pd 0.5000 0.0000 0.5000  0.01
Pd 0.5000 0.0000 0.8285  0.03
Pd 0.0000 0.5000 0.1715  0.03
Pd 0.0000 0.5000 0.5000  0.01
Pd 0.0000 0.5000 0.8285  0.03

Calculated values
The calculation puts the formation energy at -351 meV per atom. The size of the total moment is 4.3 μB/f.u.

2.
## Cd2MoIr (PBE)

Data for crystalline Cd2MoIr at its relaxed geometry.

a b c (Å): 2.8821 4.4685 5.4517
angles (deg): 90.00 90.00 90.00
Positions (direct):
Cd 0.0000 0.0000 0.0020
Cd 0.0000 0.0000 0.4980
Ir 0.5000 0.5000 0.2500
Mo 0.5000 0.5000 0.7500

Calculated values
The calculation puts the formation energy at 461 meV per atom. The size of the total moment is 0.0 μB/f.u.

3.
## NaAcDyAl (PBE)

Data for crystalline NaAcDyAl at its relaxed geometry.

a b c (Å): 5.5324 5.5324 5.5324
angles (deg): 60.00 60.00 60.00
Positions (direct):
Na 0.7500 0.7500 0.7500
Ac 0.5000 0.5000 0.5000
Al 0.2500 0.2500 0.2500
Dy 0.0000 0.0000 0.0000

Calculated values
The calculation puts the formation energy at 0 meV per atom. The size of the total moment is 0.0 μB/f.u.

4.
## Sr2MgCu (PBE)

Data for crystalline Sr2MgCu at its relaxed geometry.

a b c (Å): 3.8813 3.9061 9.1982
angles (deg): 64.74 90.00 90.00
Positions (direct):
Sr 0.0000 0.9712 0.0291
Sr 0.0000 0.5288 0.4709
Mg 0.5000 0.7500 0.7500
Cu 0.5000 0.2500 0.2500

Calculated values
The calculation puts the formation energy at -1 meV per atom. The size of the total moment is 0.0 μB/f.u.

5.
## KSi3Br (PBE)

Data for crystalline KSi3Br at its relaxed geometry.

a b c (Å): 5.2188 5.2188 5.2188
angles (deg): 90.00 90.00 90.00
Positions (direct):
K 0.5000 0.5000 0.5000
Si 0.0000 0.5000 0.0000
Si 0.0000 0.0000 0.5000
Si 0.5000 0.0000 0.0000
Br 0.0000 0.0000 0.0000

Calculated values
Its uncorrected formation energy is 1.076 eV/atom. The size of the total moment is 0.0 μB/f.u.

6.
## Tm8IrRu2 (PBE)

Data for crystalline Tm8IrRu2 at its relaxed geometry.

a b c (Å): 5.7793 7.4585 7.4585
angles (deg): 113.04 100.54 100.54
Positions (direct):
Tm 0.5775 0.3414 0.0817
Tm 0.5775 0.0817 0.3414
Tm 0.1759 0.3608 0.3608
Tm 0.9887 0.2141 0.7862
Tm 0.9887 0.7862 0.2141
Tm 0.8000 0.6402 0.6402
Tm 0.3881 0.9280 0.6699
Tm 0.3881 0.6699 0.9280
Ir 0.1402 0.9979 0.9979
Ru 0.4875 0.6959 0.3179
Ru 0.4875 0.3179 0.6959

Calculated values
The calculation puts the formation energy at -372 meV per atom. The size of the total moment is 0.0 μB/f.u.